# 1
Ta2RuW: optimized geometry, GGA-PBEsol.

Cell and atoms, written as POSCAR:
```
Ta2RuW
1.0
3.172 0.000 0.000
0.000 3.172 0.000
0.000 0.000 6.350
W Ta Ru
1 2 1
direct
0.500 0.500 0.000
0.000 0.000 0.249
0.000 0.000 0.751
0.500 0.500 0.500
```

formation enthalpy at 0 K = -269.2 meV/atom
size of the total moment = 0.00 μB/atom
space group = P4/mmm (123)

# 2
Y4TaRu: optimized geometry, GGA-PBEsol.

Cell and atoms, written as POSCAR:
```
Y4TaRu
1.0
5.836 0.000 0.000
2.918 5.054 0.000
2.918 1.685 4.765
Y Ta Ru
4 1 1
direct
0.874 0.375 0.375
0.375 0.375 0.874
0.375 0.874 0.375
0.375 0.375 0.375
0.000 0.000 0.000
0.750 0.750 0.750
```

formation enthalpy at 0 K = 1056.2 meV/atom
size of the total moment = 0.00 μB/atom
space group = F-43m (216)

# 3
YTaRu2: optimized geometry, GGA-PBEsol.

Cell and atoms, written as POSCAR:
```
YTaRu2
1.0
-2.171 0.770 -2.038
-0.163 -4.010 -1.340
-3.873 -1.084 3.715
Ta Ru Y
1 2 1
direct
0.000 0.000 0.421
0.000 0.000 0.975
0.500 0.500 0.304
0.500 0.500 0.800
```

formation enthalpy at 0 K = 122.6 meV/atom
size of the total moment = 0.00 μB/atom
space group = Pmm2 (25)